4
Lattice="-0.129 1.620 4.329 1.672 -2.552 3.474 3.914 1.256 2.116" Properties=species:S:1:pos:R:3 comment="LiEuCuRh PBE relaxed" magnetic_moment_mub_per_cell=6.70 volume_a3_per_cell=69.9 formation_energy_mev_per_atom=-74 rho_g_cm3=7.7 sg="F-43m (216)" pbc="T T T"
Eu 4.092 0.243 7.439
Li 0.000 0.000 0.000
Rh 1.364 0.081 2.480
Cu 2.728 0.162 4.959